{
  "formula": "Er5Tl2In2",
  "functional": "PBE-GGA",
  "state": "optimized geometry",
  "dos_ef_per_ev_cell": 11.84,
  "magnetic_moment_mub_per_atom": 0.00,
  "final_energy_ev_per_atom": -4.013,
  "lattice": [[7.852, 0.000, 0.000], [0.000, 8.133, 0.000], [0.000, -4.066, 7.968]],
  "species": ["Er", "Er", "Er", "Er", "Er", "Er", "Er", "Er", "Er", "Er", "Tl", "Tl", "Tl", "Tl", "In", "In", "In", "In"],
  "fractional_positions": [[0.000, 0.000, 0.000], [0.500, 0.500, 0.000], [0.828, 0.820, 0.275], [0.172, 0.455, 0.275], [0.328, 0.955, 0.275], [0.672, 0.320, 0.275], [0.172, 0.180, 0.725], [0.828, 0.545, 0.725], [0.672, 0.045, 0.725], [0.328, 0.680, 0.725], [0.000, 0.212, 0.425], [0.500, 0.712, 0.425], [0.000, 0.788, 0.575], [0.500, 0.288, 0.575], [0.627, 0.874, 0.000], [0.373, 0.126, 0.000], [0.127, 0.626, 0.000], [0.873, 0.374, 0.000]]
}